(1)
Below is crystalline NaPrPN2 at its relaxed geometry, with properties calculated at the PBE-GGA level.

Lattice parameters (Å, degrees): 5.6247 4.3047 6.6589 90.00 103.92 90.00
Space group P2/c (No. 13)
Asymmetric unit:
Na 0.0000 0.0196 0.2500 [2 per cell]
Pr 0.5000 0.2748 0.7500 [2 per cell]
P 0.0000 0.5000 0.0000 [2 per cell]
N 0.2625 0.2707 0.0381 [4 per cell]

Mass density: 4.73 g/cm³
Formation energy (no corrections): -219 meV per atom

---

(2)
Below is crystalline Na2PrPN4 at its relaxed geometry, with properties calculated at the PBE-GGA level.

Lattice parameters (Å, degrees): 5.8648 5.8648 6.3769 90.00 90.00 90.00
Space group I-42m (No. 121)
Asymmetric unit:
Na 0.0000 0.5000 0.2500 [4 per cell]
Pr 0.0000 0.0000 0.0000 [2 per cell]
P 0.0000 0.0000 0.5000 [2 per cell]
N 0.1671 0.1671 0.6397 [8 per cell]

Mass density: 4.15 g/cm³
Formation energy (no corrections): -308 meV per atom

---

(3)
Below is crystalline NaPu3P4N12 at its relaxed geometry, with properties calculated at the PBE-GGA level.

Lattice parameters (Å, degrees): 10.8185 10.8185 8.7067 90.00 90.00 120.00
Space group R32 (No. 155, hexagonal axes)
Asymmetric unit:
Na 0.0000 0.0000 0.0000 [3 per cell]
Pu 0.0000 0.5516 0.0000 [9 per cell]
P 0.0000 0.0000 0.5000 [3 per cell]
P 0.0000 0.4459 0.5000 [9 per cell]
N 0.0000 0.5940 0.5000 [9 per cell]
N 0.0000 0.8538 0.5000 [9 per cell]
N 0.0286 0.2159 0.1950 [18 per cell]

Mass density: 5.91 g/cm³
Formation energy (no corrections): -409 meV per atom

---

(4)
Below is crystalline NaPu2P2N6 at its relaxed geometry, with properties calculated at the PBE-GGA level.

Lattice parameters (Å, degrees): 11.1653 6.4273 6.3349 90.00 123.13 90.00
Space group C2/m (No. 12)
Asymmetric unit:
Na 0.0000 0.0000 0.0000 [2 per cell]
Pu 0.1760 0.5000 0.3103 [4 per cell]
P 0.1689 0.5000 0.7668 [4 per cell]
N 0.0665 0.5000 0.8668 [4 per cell]
N 0.2176 0.2970 0.6898 [8 per cell]

Mass density: 5.73 g/cm³
Formation energy (no corrections): -562 meV per atom

---

(5)
Below is crystalline NaPuPN3 at its relaxed geometry, with properties calculated at the PBE-GGA level.

Lattice parameters (Å, degrees): 6.8305 3.2765 8.3541 90.00 95.44 90.00
Space group P2_1/m (No. 11)
Asymmetric unit:
Na 0.1568 0.2500 0.2105 [2 per cell]
Pu 0.3646 0.7500 0.8453 [2 per cell]
P 0.1761 0.2500 0.5855 [2 per cell]
N 0.1260 0.2500 0.7788 [2 per cell]
N 0.3182 0.7500 0.5859 [2 per cell]
N 0.4123 0.7500 0.1013 [2 per cell]

Mass density: 6.07 g/cm³
Formation energy (no corrections): -397 meV per atom

---

(6)
Below is crystalline Na2PuP2N6 at its relaxed geometry, with properties calculated at the PBE-GGA level.

Lattice parameters (Å, degrees): 5.6774 5.6774 17.4368 90.00 90.00 120.00
Space group R-3m (No. 166, hexagonal axes)
Asymmetric unit:
Na 0.0000 0.0000 0.1982 [6 per cell]
Pu 0.0000 0.0000 0.0000 [3 per cell]
P 0.0000 0.0000 0.4079 [6 per cell]
N 0.0130 0.5065 0.2552 [18 per cell]

Mass density: 4.46 g/cm³
Formation energy (no corrections): -334 meV per atom

---

(7)
Below is crystalline NaReP2N6 at its relaxed geometry, with properties calculated at the PBE-GGA level.

Lattice parameters (Å, degrees): 10.1626 11.2066 5.2453 90.00 113.61 90.00
Space group C2/c (No. 15)
Asymmetric unit:
Na 0.0000 0.0697 0.2500 [4 per cell]
Re 0.0000 0.2333 0.7500 [4 per cell]
P 0.2097 0.4294 0.2045 [8 per cell]
N 0.0938 0.3200 0.0561 [8 per cell]
N 0.1278 0.1310 0.6961 [8 per cell]
N 0.1955 0.4660 0.4877 [8 per cell]

Mass density: 4.31 g/cm³
Formation energy (no corrections): -175 meV per atom

---

(8)
Below is crystalline NaPS2N at its relaxed geometry, with properties calculated at the PBE-GGA level.

Lattice parameters (Å, degrees): 4.7617 4.7617 3.5942 90.00 90.00 90.00
Space group P4/mmm (No. 123)
Asymmetric unit:
Na 0.0000 0.0000 0.0000 [1 per cell]
P 0.5000 0.5000 0.0000 [1 per cell]
S 0.0000 0.5000 0.5000 [2 per cell]
N 0.5000 0.5000 0.5000 [1 per cell]

Mass density: 2.69 g/cm³
Offset from the most stable computed form: 499.7 meV/atom
Formation energy (no corrections): 683 meV per atom

---

(9)
Below is crystalline NaP2SN at its relaxed geometry, with properties calculated at the PBE-GGA level.

Lattice parameters (Å, degrees): 3.9570 3.9570 5.0962 90.00 90.00 90.00
Space group P4/mmm (No. 123)
Asymmetric unit:
Na 0.0000 0.0000 0.0000 [1 per cell]
P 0.0000 0.5000 0.5000 [2 per cell]
S 0.5000 0.5000 0.0000 [1 per cell]
N 0.5000 0.5000 0.5000 [1 per cell]

Mass density: 2.73 g/cm³
Offset from the most stable computed form: 0.0 meV/atom
Formation energy (no corrections): 769 meV per atom

---

(10)
Below is crystalline NaPS2N at its relaxed geometry, with properties calculated at the PBE-GGA level.

Lattice parameters (Å, degrees): 4.9788 4.9788 4.1421 90.00 90.00 90.00
Space group P4/mmm (No. 123)
Asymmetric unit:
Na 0.0000 0.0000 0.0000 [1 per cell]
P 0.5000 0.5000 0.5000 [1 per cell]
S 0.0000 0.5000 0.0000 [2 per cell]
N 0.0000 0.0000 0.5000 [1 per cell]

Mass density: 2.14 g/cm³
Offset from the most stable computed form: 1592.7 meV/atom
Formation energy (no corrections): 1776 meV per atom